1.
! Sc2Sb2Ir (GGA-PBE, relaxed); values from VASP
&SYSTEM
  ibrav = 0, nat = 5, ntyp = 3
/
ATOMIC_SPECIES
Sc 44.96 Sc.upf
Sb 121.76 Sb.upf
Ir 192.22 Ir.upf
CELL_PARAMETERS angstrom
-2.1724 2.1724 6.2769
2.1724 -2.1724 6.2769
2.1724 2.1724 -6.2769
ATOMIC_POSITIONS angstrom
Sc 2.1724 0.0000 3.1385
Sc 0.0000 2.1724 3.1385
Sb 0.0000 0.0000 1.3188
Sb 0.0000 0.0000 11.2350
Ir 0.0000 0.0000 6.2769
! raw formation energy	0.44	eV per atom
! E above lowest polymorph	0.997	eV/atom
! calculated total energy	-5.512	eV per atom


2.
! Sc3SbIr (GGA-PBE, relaxed); values from VASP
&SYSTEM
  ibrav = 0, nat = 5, ntyp = 3
/
ATOMIC_SPECIES
Sc 44.96 Sc.upf
Sb 121.76 Sb.upf
Ir 192.22 Ir.upf
CELL_PARAMETERS angstrom
5.0244 0.0000 0.0000
0.0000 5.0244 0.0000
0.0000 0.0000 5.0244
ATOMIC_POSITIONS angstrom
Sc 0.0000 0.0000 2.5122
Sc 0.0000 2.5122 0.0000
Sc 2.5122 0.0000 0.0000
Sb 2.5122 2.5122 2.5122
Ir 0.0000 0.0000 0.0000
! raw formation energy	-0.47	eV per atom
! E above lowest polymorph	0.000	eV/atom
! calculated total energy	-6.866	eV per atom


3.
! ScSbIr (GGA-PBE, relaxed); values from VASP
&SYSTEM
  ibrav = 0, nat = 3, ntyp = 3
/
ATOMIC_SPECIES
Sc 44.96 Sc.upf
Sb 121.76 Sb.upf
Ir 192.22 Ir.upf
CELL_PARAMETERS angstrom
-1.6670 2.0080 4.3630
1.6670 -2.0080 4.3630
1.6670 2.0080 -4.3630
ATOMIC_POSITIONS angstrom
Sc 0.0000 0.0000 0.0000
Sb 0.0000 0.0000 2.7968
Ir 0.0000 0.0000 5.5495
! raw formation energy	-0.41	eV per atom
! calculated total energy	-6.852	eV per atom


4.
! ScSbIr (GGA-PBE, relaxed); values from VASP
&SYSTEM
  ibrav = 0, nat = 3, ntyp = 3
/
ATOMIC_SPECIES
Sc 44.96 Sc.upf
Sb 121.76 Sb.upf
Ir 192.22 Ir.upf
CELL_PARAMETERS angstrom
-1.5941 1.5941 5.8581
1.5941 -1.5941 5.8581
1.5941 1.5941 -5.8581
ATOMIC_POSITIONS angstrom
Sc 0.0000 0.0000 0.0000
Sb 0.0000 0.0000 8.2383
Ir 0.0000 0.0000 4.2761
! raw formation energy	-0.45	eV per atom
! calculated total energy	-6.885	eV per atom


5.
! Sc2SbIr2 (GGA-PBE, relaxed); values from VASP
&SYSTEM
  ibrav = 0, nat = 10, ntyp = 3
/
ATOMIC_SPECIES
Sc 44.96 Sc.upf
Sb 121.76 Sb.upf
Ir 192.22 Ir.upf
CELL_PARAMETERS angstrom
7.6277 0.0000 0.0000
0.0000 7.6277 0.0000
0.0000 0.0000 3.2071
ATOMIC_POSITIONS angstrom
Sc 1.2175 2.5963 0.0000
Sc 2.5963 6.4101 0.0000
Sc 5.0314 1.2175 0.0000
Sc 6.4101 5.0314 0.0000
Sb 0.0000 0.0000 1.6036
Sb 3.8138 3.8138 1.6036
Ir 1.0390 4.8529 1.6036
Ir 2.7748 1.0390 1.6036
Ir 4.8529 6.5886 1.6036
Ir 6.5886 2.7748 1.6036
! raw formation energy	-0.73	eV per atom
! calculated total energy	-7.631	eV per atom


6.
! Sc2Sb2Ir (GGA-PBE, relaxed); values from VASP
&SYSTEM
  ibrav = 0, nat = 10, ntyp = 3
/
ATOMIC_SPECIES
Sc 44.96 Sc.upf
Sb 121.76 Sb.upf
Ir 192.22 Ir.upf
CELL_PARAMETERS angstrom
7.0397 0.0000 0.0000
0.0000 7.0397 0.0000
0.0000 0.0000 4.5546
ATOMIC_POSITIONS angstrom
Sc 1.1860 2.3339 0.0000
Sc 2.3339 5.8538 0.0000
Sc 4.7059 1.1860 0.0000
Sc 5.8538 4.7059 0.0000
Sb 1.0389 4.5588 2.2773
Sb 2.4810 1.0389 2.2773
Sb 4.5588 6.0008 2.2773
Sb 6.0008 2.4810 2.2773
Ir 0.0000 0.0000 0.0000
Ir 3.5199 3.5199 0.0000
! raw formation energy	-0.30	eV per atom
! E above lowest polymorph	0.252	eV/atom
! calculated total energy	-6.258	eV per atom